(1)
DFT (PBE-GGA) results for a relaxed SmHfZnHg crystal.

Calculated values
- Total magnetic moment: 0.23 μB per atom
- Crystal system: cubic
- E_form: -0.11 eV/atom
- SG: No. 216
- DFT total energy: -4.17 eV per atom

Unit cell a=5.0511 b=5.0511 c=5.0511 alpha=60.00 beta=60.00 gamma=60.00
Last column: nearest neighbours and their distance in Å.
Positions (direct):
Sm 0.0000 0.0000 0.0000  4 Hg 3.09, 4 Zn 3.09
Hf 0.5000 0.5000 0.5000  4 Hg 3.09, 4 Zn 3.09
Zn 0.7500 0.7500 0.7500  4 Sm 3.09, 4 Hf 3.09
Hg 0.2500 0.2500 0.2500  4 Hf 3.09, 4 Sm 3.09

(2)
DFT (PBE-GGA) results for a relaxed HfSn2Hg2 crystal.

Calculated values
- Total magnetic moment: 0.00 μB per atom
- Crystal system: tetragonal
- E_form: 0.22 eV/atom
- SG: No. 127
- DFT total energy: -3.49 eV per atom

Unit cell a=7.9852 b=7.9852 c=3.7893 alpha=90.00 beta=90.00 gamma=90.00
Last column: nearest neighbours and their distance in Å.
Positions (direct):
Hf 0.0000 0.0000 0.0000  4 Hg 3.12
Hf 0.5000 0.5000 0.0000  4 Hg 3.12
Sn 0.1723 0.3277 0.5000  6 Hg 2.91-3.10
Sn 0.3277 0.8277 0.5000  6 Hg 2.91-3.10
Sn 0.6723 0.1723 0.5000  6 Hg 2.91-3.10
Sn 0.8277 0.6723 0.5000  6 Hg 2.91-3.10
Hg 0.1317 0.6317 0.0000  6 Sn 2.91-3.10, 1 Hg 2.98, 2 Hf 3.12
Hg 0.3683 0.1317 0.0000  6 Sn 2.91-3.10, 1 Hg 2.98, 2 Hf 3.12
Hg 0.6317 0.8683 0.0000  6 Sn 2.91-3.10, 1 Hg 2.98, 2 Hf 3.12
Hg 0.8683 0.3683 0.0000  6 Sn 2.91-3.10, 1 Hg 2.98, 2 Hf 3.12

Q: Number 2 is which compound?
A: HfSn2Hg2

Please write out number 1 again, unchanged.
DFT (PBE-GGA) results for a relaxed SmHfZnHg crystal.

Calculated values
- Total magnetic moment: 0.23 μB per atom
- Crystal system: cubic
- E_form: -0.11 eV/atom
- SG: No. 216
- DFT total energy: -4.17 eV per atom

Unit cell a=5.0511 b=5.0511 c=5.0511 alpha=60.00 beta=60.00 gamma=60.00
Last column: nearest neighbours and their distance in Å.
Positions (direct):
Sm 0.0000 0.0000 0.0000  4 Hg 3.09, 4 Zn 3.09
Hf 0.5000 0.5000 0.5000  4 Hg 3.09, 4 Zn 3.09
Zn 0.7500 0.7500 0.7500  4 Sm 3.09, 4 Hf 3.09
Hg 0.2500 0.2500 0.2500  4 Hf 3.09, 4 Sm 3.09

Q: Look up the DFT total energy of the second one.
A: -3.49 eV per atom